1.
Ac2TbNd2 | GGA-PBE | optimized geometry

Computed properties:
ΔE_f	0.202	eV per atom
magnetization	0.0	μB/f.u.
symmetry	C2/c, No. 15
uncorrected energy	-4.274	eV/atom
distance to the lowest polymorph of the same formula	0	meV per atom

Cell and atoms, written as POSCAR:
```
Ac2TbNd2
1.0
-2.621 -3.880 4.756
-3.094 -0.316 -5.905
8.671 -5.038 -2.283
Ac Tb Nd
4 2 4
direct
0.652 0.699 0.849
0.348 0.301 0.151
0.150 0.697 0.349
0.850 0.303 0.651
0.750 0.000 0.250
0.250 0.000 0.750
0.775 0.276 0.000
0.723 0.724 0.500
0.277 0.276 0.500
0.225 0.724 0.000
```

2.
Ac6TbNd3 | GGA-PBE | optimized geometry

Computed properties:
ΔE_f	0.210	eV per atom
magnetization	0.0	μB/f.u.
symmetry	C2/m, No. 12
uncorrected energy	-4.148	eV/atom

Cell and atoms, written as POSCAR:
```
Ac6TbNd3
1.0
-4.637 2.051 -5.522
3.532 -6.817 -5.497
-2.312 -3.638 5.679
Ac Nd Tb
6 3 1
direct
0.630 0.908 0.260
0.923 0.297 0.335
0.589 0.703 0.665
0.370 0.092 0.740
0.077 0.703 0.665
0.411 0.297 0.335
0.912 0.340 0.825
0.088 0.660 0.175
0.000 0.000 0.000
0.500 0.500 0.000
```

3.
Ac7TbNd3 | GGA-PBE | optimized geometry

Computed properties:
ΔE_f	0.262	eV per atom
magnetization	0.0	μB/f.u.
symmetry	C2/m, No. 12
uncorrected energy	-4.074	eV/atom

Cell and atoms, written as POSCAR:
```
Ac7TbNd3
1.0
6.914 0.072 0.526
0.540 8.246 0.964
0.068 -0.168 8.317
Ac Tb Nd
7 1 3
direct
0.740 0.580 0.921
0.260 0.420 0.079
0.260 0.079 0.420
0.000 0.500 0.500
0.772 0.238 0.238
0.740 0.921 0.580
0.228 0.762 0.762
0.500 0.500 0.500
0.000 0.836 0.164
0.500 0.000 0.000
0.000 0.164 0.836
```

4.
AcTb2Nd5 | GGA-PBE | optimized geometry

Computed properties:
ΔE_f	0.023	eV per atom
magnetization	0.0	μB/f.u.
symmetry	Pbam, No. 55
uncorrected energy	-4.628	eV/atom

Cell and atoms, written as POSCAR:
```
AcTb2Nd5
1.0
-3.983 -2.592 -2.109
4.248 -1.857 -5.742
4.220 -12.253 7.085
Tb Nd Ac
4 10 2
direct
0.500 0.751 0.873
0.500 0.251 0.627
0.500 0.749 0.373
0.500 0.249 0.127
0.000 0.000 0.000
0.500 0.753 0.127
0.000 0.500 0.500
0.000 0.499 0.748
0.500 0.247 0.873
0.000 0.999 0.752
0.500 0.253 0.373
0.500 0.747 0.627
0.000 0.001 0.248
0.000 0.501 0.252
0.000 0.000 0.500
0.000 0.500 0.000
```

5.
AcTbNd4 | GGA-PBE | optimized geometry

Computed properties:
ΔE_f	0.170	eV per atom
magnetization	0.0	μB/f.u.
symmetry	C2/c, No. 15
uncorrected energy	-4.465	eV/atom
distance to the lowest polymorph of the same formula	0	meV per atom

Cell and atoms, written as POSCAR:
```
AcTbNd4
1.0
9.110 0.504 -2.394
-4.489 3.994 -0.772
-0.177 1.888 10.574
Nd Ac Tb
8 2 2
direct
0.872 0.622 0.229
0.128 0.378 0.771
0.643 0.893 0.771
0.546 0.296 0.581
0.965 0.215 0.419
0.035 0.785 0.581
0.454 0.704 0.419
0.357 0.107 0.229
0.447 0.197 0.894
0.553 0.803 0.106
0.050 0.300 0.099
0.950 0.700 0.901
```

6.
Ac2Tb6Nd5 | GGA-PBE | optimized geometry

Computed properties:
ΔE_f	0.104	eV per atom
magnetization	0.0	μB/f.u.
symmetry	Pbam, No. 55
uncorrected energy	-4.499	eV/atom

Cell and atoms, written as POSCAR:
```
Ac2Tb6Nd5
1.0
-3.654 0.456 -0.177
-1.277 -6.275 10.215
1.659 17.574 11.002
Tb Nd Ac
12 10 4
direct
0.500 0.184 0.620
0.000 0.071 0.361
0.000 0.439 0.574
0.500 0.816 0.380
0.000 0.939 0.926
0.000 0.561 0.426
0.000 0.429 0.861
0.500 0.316 0.120
0.500 0.684 0.880
0.000 0.929 0.639
0.000 0.571 0.139
0.000 0.061 0.074
0.500 0.593 0.285
0.500 0.701 0.554
0.500 0.907 0.785
0.500 0.500 0.000
0.500 0.299 0.446
0.500 0.799 0.054
0.500 0.000 0.500
0.500 0.407 0.715
0.500 0.093 0.215
0.500 0.201 0.946
0.000 0.667 0.723
0.000 0.833 0.223
0.000 0.167 0.777
0.000 0.333 0.277
```

7.
Ac2Tb5Nd5 | GGA-PBE | optimized geometry

Computed properties:
ΔE_f	0.033	eV per atom
magnetization	0.0	μB/f.u.
symmetry	C2/m, No. 12
uncorrected energy	-4.567	eV/atom

Cell and atoms, written as POSCAR:
```
Ac2Tb5Nd5
1.0
0.423 -4.755 2.026
4.982 -4.452 -4.852
10.015 0.050 4.663
Nd Tb Ac
5 5 2
direct
0.755 0.244 0.247
0.168 0.164 0.500
0.000 0.000 0.000
0.832 0.836 0.500
0.245 0.756 0.753
0.414 0.922 0.250
0.666 0.670 0.998
0.500 0.500 0.500
0.586 0.078 0.750
0.334 0.330 0.002
0.917 0.415 0.751
0.083 0.585 0.249
```

8.
AcTb3Nd4 | GGA-PBE | optimized geometry

Computed properties:
ΔE_f	0.089	eV per atom
magnetization	0.0	μB/f.u.
symmetry	Immm, No. 71
uncorrected energy	-4.545	eV/atom
distance to the lowest polymorph of the same formula	47	meV per atom

Cell and atoms, written as POSCAR:
```
AcTb3Nd4
1.0
3.740 0.000 -0.551
-0.206 5.823 -1.404
0.007 0.053 13.011
Tb Nd Ac
3 4 1
direct
0.500 0.000 0.000
0.265 0.765 0.531
0.735 0.235 0.469
0.114 0.114 0.228
0.886 0.886 0.772
0.359 0.359 0.718
0.641 0.641 0.282
0.000 0.500 0.000
```

- Which formula does entry 4 have?
  AcTb2Nd5